# Li4ScTaO6

An optimized crystal structure of Li4ScTaO6 (PBE, OQMD).

Total DFT energy (no corrections)   -7.28 eV/atom

```
data_Li4ScTaO6
_chemical_formula_sum 'Li8 Sc2 Ta2 O12'
_symmetry_space_group_name_H-M 'C 1 2 1'
_symmetry_Int_Tables_number 5
_symmetry_space_group_name_Hall 'C 2y'
_cell_length_a 5.255
_cell_length_b 9.068
_cell_length_c 5.155
_cell_angle_alpha 90.00
_cell_angle_beta 110.15
_cell_angle_gamma 90.00
loop_
_atom_site_label
_atom_site_type_symbol
_atom_site_fract_x
_atom_site_fract_y
_atom_site_fract_z
_atom_site_occupancy
Li1 Li 0.000 0.000 0.000 1
Li2 Li 0.000 0.157 0.500 1
Li3 Li 0.000 0.315 0.000 1
Li4 Li 0.000 0.657 0.000 1
Sc1 Sc 0.000 0.825 0.500 1
Ta1 Ta 0.000 0.490 0.500 1
O1 O 0.229 0.652 0.738 1
O2 O 0.237 0.487 0.268 1
O3 O 0.244 0.336 0.735 1
```


# Li3Sc3Ta2O12

An optimized crystal structure of Li3Sc3Ta2O12 (PBE, OQMD).

Total DFT energy (no corrections)   -8.01 eV/atom

```
data_Li3Sc3Ta2O12
_chemical_formula_sum 'Li24 Sc24 Ta16 O96'
_symmetry_space_group_name_H-M 'I a -3 d'
_symmetry_Int_Tables_number 230
_symmetry_space_group_name_Hall '-I 4bd 2c 3'
_cell_length_a 11.886
_cell_length_b 11.886
_cell_length_c 11.886
_cell_angle_alpha 90.00
_cell_angle_beta 90.00
_cell_angle_gamma 90.00
loop_
_atom_site_label
_atom_site_type_symbol
_atom_site_fract_x
_atom_site_fract_y
_atom_site_fract_z
_atom_site_occupancy
Li1 Li 0.000 0.250 0.375 1
Sc1 Sc 0.000 0.250 0.125 1
Ta1 Ta 0.000 0.000 0.000 1
O1 O 0.026 0.065 0.652 1
```


# LiScTa2O6

An optimized crystal structure of LiScTa2O6 (PBE, OQMD).

Total DFT energy (no corrections)   -8.85 eV/atom

```
data_LiScTa2O6
_chemical_formula_sum 'Li4 Sc4 Ta8 O24'
_symmetry_space_group_name_H-M 'C 1 2/c 1'
_symmetry_Int_Tables_number 15
_symmetry_space_group_name_Hall '-C 2yc'
_cell_length_a 11.341
_cell_length_b 7.512
_cell_length_c 5.705
_cell_angle_alpha 90.00
_cell_angle_beta 108.63
_cell_angle_gamma 90.00
loop_
_atom_site_label
_atom_site_type_symbol
_atom_site_fract_x
_atom_site_fract_y
_atom_site_fract_z
_atom_site_occupancy
Li1 Li 0.000 0.160 0.250 1
Sc1 Sc 0.000 0.432 0.750 1
Ta1 Ta 0.245 0.086 0.820 1
O1 O 0.077 0.350 0.113 1
O2 O 0.134 0.026 0.474 1
O3 O 0.182 0.335 0.760 1
```